one.
Density functional theory data (GGA-PBE) for Ru2Cl after structural relaxation.

Cell and atoms, written as POSCAR:
```
Ru2Cl
1.0
2.884 0.000 0.000
-1.442 2.498 0.000
0.000 0.000 6.168
Ru Cl
2 1
Direct
0.333 0.667 0.342
0.667 0.333 0.658
0.000 0.000 0.000
```

Computed properties:
**V**: 14.81 Å³ per atom

---

two.
Density functional theory data (GGA-PBE) for Ru2Cl after structural relaxation.

Cell and atoms, written as POSCAR:
```
Ru2Cl
1.0
6.241 0.000 0.000
-3.120 5.404 0.000
0.000 0.000 4.023
Ru Cl
6 3
Direct
0.000 0.255 0.000
0.000 0.641 0.500
0.255 0.000 0.000
0.359 0.359 0.500
0.641 0.000 0.500
0.745 0.745 0.000
0.000 0.000 0.500
0.333 0.667 0.000
0.667 0.333 0.000
```

Computed properties:
**V**: 15.07 Å³ per atom

---

three.
Density functional theory data (GGA-PBE) for Ru2Cl after structural relaxation.

Cell and atoms, written as POSCAR:
```
Ru2Cl
1.0
3.875 0.000 0.000
-1.938 3.356 0.000
0.000 0.000 7.561
Ru Cl
4 2
Direct
0.333 0.667 0.071
0.333 0.667 0.429
0.667 0.333 0.571
0.667 0.333 0.929
0.000 0.000 0.250
0.000 0.000 0.750
```

Computed properties:
**V**: 16.39 Å³ per atom

---

four.
Density functional theory data (GGA-PBE) for Ru2Cl after structural relaxation.

Cell and atoms, written as POSCAR:
```
Ru2Cl
1.0
8.709 0.000 0.000
0.000 2.839 0.000
-0.525 0.000 10.257
Ru Cl
8 4
Direct
0.094 0.000 0.163
0.131 0.500 0.956
0.369 0.000 0.044
0.406 0.500 0.837
0.594 0.500 0.163
0.631 0.000 0.956
0.869 0.500 0.044
0.906 0.000 0.837
0.117 0.500 0.349
0.383 0.000 0.651
0.617 0.000 0.349
0.883 0.500 0.651
```

Computed properties:
**V**: 21.14 Å³ per atom

---

Stability summary: most stable four, least stable two.

---

one.
Density functional theory data (GGA-PBE) for Ru2Cl after structural relaxation.

Cell and atoms, written as POSCAR:
```
Ru2Cl
1.0
4.624 0.000 0.000
0.000 4.503 0.000
0.000 0.000 9.592
Ru Cl
8 4
Direct
0.015 0.250 0.207
0.043 0.750 0.058
0.457 0.250 0.558
0.485 0.750 0.707
0.515 0.250 0.293
0.543 0.750 0.442
0.957 0.250 0.942
0.985 0.750 0.793
0.027 0.750 0.375
0.473 0.250 0.875
0.527 0.750 0.125
0.973 0.250 0.625
```

Computed properties:
**V**: 16.64 Å³ per atom

---

two.
Density functional theory data (GGA-PBE) for Ru2Cl after structural relaxation.

Cell and atoms, written as POSCAR:
```
Ru2Cl
1.0
2.872 0.000 0.000
0.000 13.455 0.000
0.000 0.000 4.775
Ru Cl
8 4
Direct
0.000 0.027 0.250
0.000 0.318 0.750
0.000 0.682 0.250
0.000 0.973 0.750
0.500 0.182 0.250
0.500 0.473 0.750
0.500 0.527 0.250
0.500 0.818 0.750
0.000 0.354 0.250
0.000 0.646 0.750
0.500 0.146 0.750
0.500 0.854 0.250
```

Computed properties:
**V**: 15.38 Å³ per atom

---

Stability summary: most stable one, least stable two.

---

one.
Density functional theory data (GGA-PBE) for Ru2Cl after structural relaxation.

Cell and atoms, written as POSCAR:
```
Ru2Cl
1.0
5.660 0.000 0.000
0.000 5.660 0.000
0.000 0.000 5.660
Ru Cl
8 4
Direct
0.250 0.250 0.250
0.250 0.250 0.750
0.250 0.750 0.250
0.250 0.750 0.750
0.750 0.250 0.250
0.750 0.250 0.750
0.750 0.750 0.250
0.750 0.750 0.750
0.000 0.000 0.000
0.000 0.500 0.500
0.500 0.000 0.500
0.500 0.500 0.000
```

Computed properties:
**V**: 15.11 Å³ per atom

---

two.
Density functional theory data (GGA-PBE) for Ru2Cl after structural relaxation.

Cell and atoms, written as POSCAR:
```
Ru2Cl
1.0
9.710 0.000 0.000
0.000 2.863 0.000
-4.487 0.000 8.576
Ru Cl
8 4
Direct
0.120 0.000 0.128
0.123 0.500 0.905
0.377 0.000 0.095
0.380 0.500 0.872
0.620 0.500 0.128
0.623 0.000 0.905
0.877 0.500 0.095
0.880 0.000 0.872
0.052 0.000 0.337
0.448 0.500 0.663
0.552 0.500 0.337
0.948 0.000 0.663
```

Computed properties:
**V**: 19.87 Å³ per atom

---

Stability summary: most stable two, least stable one.

---

one.
Density functional theory data (GGA-PBE) for Ru2Cl after structural relaxation.

Cell and atoms, written as POSCAR:
```
Ru2Cl
1.0
4.007 0.000 0.000
0.000 4.007 0.000
0.000 0.000 2.892
Ru Cl
2 1
Direct
0.000 0.500 0.000
0.500 0.000 0.000
0.000 0.000 0.500
```

Computed properties:
**V**: 15.48 Å³ per atom

---

two.
Density functional theory data (GGA-PBE) for Ru2Cl after structural relaxation.

Cell and atoms, written as POSCAR:
```
Ru2Cl
1.0
4.050 0.000 0.000
0.000 20.433 0.000
0.000 0.000 2.891
Ru Cl
8 4
Direct
0.000 0.159 0.250
0.000 0.264 0.750
0.000 0.736 0.250
0.000 0.841 0.750
0.500 0.236 0.250
0.500 0.341 0.750
0.500 0.659 0.250
0.500 0.764 0.750
0.000 0.410 0.250
0.000 0.590 0.750
0.500 0.090 0.750
0.500 0.910 0.250
```

Computed properties:
**V**: 19.93 Å³ per atom

---

three.
Density functional theory data (GGA-PBE) for Ru2Cl after structural relaxation.

Cell and atoms, written as POSCAR:
```
Ru2Cl
1.0
4.061 0.000 0.000
-2.031 3.517 0.000
0.000 0.000 6.161
Ru Cl
4 2
Direct
0.000 0.000 0.000
0.000 0.000 0.500
0.333 0.667 0.250
0.667 0.333 0.750
0.333 0.667 0.750
0.667 0.333 0.250
```

Computed properties:
**V**: 14.67 Å³ per atom

---

four.
Density functional theory data (GGA-PBE) for Ru2Cl after structural relaxation.

Cell and atoms, written as POSCAR:
```
Ru2Cl
1.0
2.874 0.000 0.000
0.000 2.874 0.000
0.000 0.000 11.101
Ru Cl
4 2
Direct
0.000 0.000 0.179
0.000 0.000 0.821
0.500 0.500 0.321
0.500 0.500 0.679
0.000 0.000 0.500
0.500 0.500 0.000
```

Computed properties:
**V**: 15.28 Å³ per atom

---

Stability summary: most stable two, least stable one.

---

one.
Density functional theory data (GGA-PBE) for Ru2Cl after structural relaxation.

Cell and atoms, written as POSCAR:
```
Ru2Cl
1.0
10.467 0.000 0.000
0.000 2.853 0.000
-2.650 0.000 6.678
Ru Cl
8 4
Direct
0.000 0.000 0.000
0.055 0.000 0.648
0.219 0.500 0.003
0.416 0.000 0.235
0.500 0.500 0.000
0.555 0.500 0.648
0.719 0.000 0.003
0.916 0.500 0.235
0.150 0.500 0.458
0.402 0.000 0.717
0.650 0.000 0.458
0.902 0.500 0.717
```

Computed properties:
**V**: 16.62 Å³ per atom

---

two.
Density functional theory data (GGA-PBE) for Ru2Cl after structural relaxation.

Cell and atoms, written as POSCAR:
```
Ru2Cl
1.0
2.912 0.000 0.000
0.000 17.792 0.000
0.000 0.000 4.203
Ru Cl
8 4
Direct
0.000 0.038 0.250
0.000 0.415 0.250
0.000 0.585 0.750
0.000 0.962 0.750
0.500 0.085 0.750
0.500 0.462 0.750
0.500 0.538 0.250
0.500 0.915 0.250
0.000 0.333 0.750
0.000 0.667 0.250
0.500 0.167 0.250
0.500 0.833 0.750
```

Computed properties:
**V**: 18.14 Å³ per atom

---

three.
Density functional theory data (GGA-PBE) for Ru2Cl after structural relaxation.

Cell and atoms, written as POSCAR:
```
Ru2Cl
1.0
2.827 0.000 0.000
0.000 2.827 0.000
0.000 0.000 24.042
Ru Cl
8 4
Direct
0.000 0.250 0.291
0.000 0.250 0.459
0.000 0.750 0.541
0.000 0.750 0.709
0.500 0.250 0.041
0.500 0.250 0.209
0.500 0.750 0.791
0.500 0.750 0.959
0.000 0.250 0.875
0.000 0.750 0.125
0.500 0.250 0.625
0.500 0.750 0.375
```

Computed properties:
**V**: 16.01 Å³ per atom

---

Stability summary: most stable two, least stable three.

---

one.
Density functional theory data (GGA-PBE) for Ru4Cl after structural relaxation.

Cell and atoms, written as POSCAR:
```
Ru4Cl
1.0
4.291 0.000 0.000
0.000 4.291 0.000
0.000 0.000 4.291
Ru Cl
4 1
Direct
0.000 0.000 0.000
0.000 0.500 0.500
0.500 0.000 0.500
0.500 0.500 0.000
0.500 0.500 0.500
```

Computed properties:
**V**: 15.80 Å³ per atom

---

two.
Density functional theory data (GGA-PBE) for Ru4Cl after structural relaxation.

Cell and atoms, written as POSCAR:
```
Ru4Cl
1.0
5.402 0.000 0.000
0.000 5.402 0.000
0.000 0.000 5.402
Ru Cl
8 2
Direct
0.250 0.250 0.250
0.250 0.250 0.750
0.250 0.750 0.250
0.250 0.750 0.750
0.750 0.250 0.250
0.750 0.250 0.750
0.750 0.750 0.250
0.750 0.750 0.750
0.000 0.000 0.000
0.500 0.500 0.500
```

Computed properties:
**V**: 15.77 Å³ per atom

---

Stability summary: most stable two, least stable one.